A relaxed TcSe2I crystal. Source: Alexandria, functional GGA-PBE.

Geometry as POSCAR:
```
TcSe2I
1.0
11.219 0.000 0.000
0.000 6.184 0.000
-4.459 0.000 6.396
Tc Se I
4 8 4
Cartesian
0.000 1.379 0.000
0.000 4.805 0.000
5.609 1.713 0.000
5.609 4.471 0.000
-2.649 3.092 5.715
-0.175 0.000 5.232
3.735 3.092 0.922
2.044 3.092 4.652
2.960 0.000 5.715
5.435 3.092 5.232
9.344 0.000 0.922
7.654 0.000 4.652
-0.357 3.092 2.287
1.607 0.000 1.797
5.252 0.000 2.287
7.216 3.092 1.797
```

Computed properties:
- Space-group type: Cm, No. 8
- Relative energy among the computed polymorphs: 0.056 eV per atom
- Formation energy (no corrections): -0.15 eV/atom